[1]
Entry from the Alexandria database: a relaxed structure of CePmSc2Tl4 (PBE-GGA).

Output
- D(E_F): 1.54 states/eV per atom
- Symmetry: No. 166
- Energy relative to the elements: -273 meV per atom
- Electronic total energy: -34.99 eV/cell

Structure (CIF):
```
data_CePmSc2Tl4
_cell_length_a 5.311
_cell_length_b 5.311
_cell_length_c 9.232
_cell_angle_alpha 73.28
_cell_angle_beta 73.28
_cell_angle_gamma 60.00
_space_group_name_H-M_alt 'P 1'
_space_group_IT_number 1
loop_
_space_group_symop_operation_xyz
'x,y,z'
loop_
_atom_site_label
_atom_site_type_symbol
_atom_site_fract_x
_atom_site_fract_y
_atom_site_fract_z
Ce1 Ce 0.500 0.500 0.500
Pm1 Pm 0.000 0.000 0.000
Sc1 Sc 0.750 0.750 0.750
Sc2 Sc 0.250 0.250 0.250
Tl1 Tl 0.375 0.375 0.876
Tl2 Tl 0.875 0.875 0.374
Tl3 Tl 0.125 0.125 0.626
Tl4 Tl 0.625 0.625 0.124
```

=====

[2]
Entry from the Alexandria database: a relaxed structure of CePmTmSc (PBE-GGA).

Output
- D(E_F): 1.98 states/eV per atom
- Symmetry: No. 216
- Energy relative to the elements: 129 meV per atom
- Electronic total energy: -20.97 eV/cell

Structure (CIF):
```
data_CePmTmSc
_cell_length_a 5.536
_cell_length_b 5.536
_cell_length_c 5.536
_cell_angle_alpha 60.00
_cell_angle_beta 60.00
_cell_angle_gamma 60.00
_space_group_name_H-M_alt 'P 1'
_space_group_IT_number 1
loop_
_space_group_symop_operation_xyz
'x,y,z'
loop_
_atom_site_label
_atom_site_type_symbol
_atom_site_fract_x
_atom_site_fract_y
_atom_site_fract_z
Sc1 Sc 0.250 0.250 0.250
Tm1 Tm 0.750 0.750 0.750
Ce1 Ce 0.000 0.000 0.000
Pm1 Pm 0.500 0.500 0.500
```

=====

[3]
Entry from the Alexandria database: a relaxed structure of CePmYSc (PBE-GGA).

Output
- D(E_F): 2.85 states/eV per atom
- Symmetry: No. 216
- Energy relative to the elements: 188 meV per atom
- Electronic total energy: -22.73 eV/cell

Structure (CIF):
```
data_CePmYSc
_cell_length_a 5.587
_cell_length_b 5.587
_cell_length_c 5.587
_cell_angle_alpha 60.00
_cell_angle_beta 60.00
_cell_angle_gamma 60.00
_space_group_name_H-M_alt 'P 1'
_space_group_IT_number 1
loop_
_space_group_symop_operation_xyz
'x,y,z'
loop_
_atom_site_label
_atom_site_type_symbol
_atom_site_fract_x
_atom_site_fract_y
_atom_site_fract_z
Y1 Y 0.750 0.750 0.750
Sc1 Sc 0.000 0.000 0.000
Ce1 Ce 0.250 0.250 0.250
Pm1 Pm 0.500 0.500 0.500
```

=====

[4]
Entry from the Alexandria database: a relaxed structure of CePmZrSc (PBE-GGA).

Output
- D(E_F): 1.89 states/eV per atom
- Symmetry: No. 216
- Energy relative to the elements: 183 meV per atom
- Electronic total energy: -24.83 eV/cell

Structure (CIF):
```
data_CePmZrSc
_cell_length_a 5.362
_cell_length_b 5.362
_cell_length_c 5.362
_cell_angle_alpha 60.00
_cell_angle_beta 60.00
_cell_angle_gamma 60.00
_space_group_name_H-M_alt 'P 1'
_space_group_IT_number 1
loop_
_space_group_symop_operation_xyz
'x,y,z'
loop_
_atom_site_label
_atom_site_type_symbol
_atom_site_fract_x
_atom_site_fract_y
_atom_site_fract_z
Sc1 Sc 0.000 0.000 0.000
Zr1 Zr 0.500 0.500 0.500
Ce1 Ce 0.750 0.750 0.750
Pm1 Pm 0.250 0.250 0.250
```

=====

[5]
Entry from the Alexandria database: a relaxed structure of CePm2Se4 (PBE-GGA).

Output
- D(E_F): 1.01 states/eV per atom
- Formation energy (no corrections): -1251 kJ/mol of formula units
- Symmetry: No. 63
- Electronic total energy: -84.68 eV/cell

Structure (CIF):
```
data_CePm2Se4
_cell_length_a 4.115
_cell_length_b 7.227
_cell_length_c 14.075
_cell_angle_alpha 90.00
_cell_angle_beta 90.00
_cell_angle_gamma 106.54
_space_group_name_H-M_alt 'P 1'
_space_group_IT_number 1
loop_
_space_group_symop_operation_xyz
'x,y,z'
loop_
_atom_site_label
_atom_site_type_symbol
_atom_site_fract_x
_atom_site_fract_y
_atom_site_fract_z
Ce1 Ce 0.622 0.244 0.750
Ce2 Ce 0.378 0.756 0.250
Pm1 Pm 0.131 0.262 0.432
Pm2 Pm 0.869 0.738 0.932
Pm3 Pm 0.131 0.262 0.068
Pm4 Pm 0.869 0.738 0.568
Se1 Se 0.775 0.550 0.123
Se2 Se 0.775 0.550 0.377
Se3 Se 0.225 0.450 0.877
Se4 Se 0.225 0.450 0.623
Se5 Se 0.967 0.933 0.750
Se6 Se 0.033 0.067 0.250
Se7 Se 0.500 0.000 0.000
Se8 Se 0.500 0.000 0.500
```

=====

[6]
Entry from the Alexandria database: a relaxed structure of CePmSe2 (PBE-GGA).

Output
- D(E_F): 1.69 states/eV per atom
- Formation energy (no corrections): -682 kJ/mol of formula units
- Symmetry: No. 160
- Electronic total energy: -24.72 eV/cell

Structure (CIF):
```
data_CePmSe2
_cell_length_a 4.088
_cell_length_b 4.088
_cell_length_c 7.742
_cell_angle_alpha 74.69
_cell_angle_beta 74.69
_cell_angle_gamma 60.00
_space_group_name_H-M_alt 'P 1'
_space_group_IT_number 1
loop_
_space_group_symop_operation_xyz
'x,y,z'
loop_
_atom_site_label
_atom_site_type_symbol
_atom_site_fract_x
_atom_site_fract_y
_atom_site_fract_z
Ce1 Ce 0.671 0.671 0.986
Pm1 Pm 0.495 0.495 0.514
Se1 Se 0.083 0.083 0.751
Se2 Se 0.250 0.250 0.250
```

=====

[7]
Entry from the Alexandria database: a relaxed structure of Ce2Pm2Se5 (PBE-GGA).

Output
- D(E_F): 1.88 states/eV per atom
- Formation energy (no corrections): -1541 kJ/mol of formula units
- Symmetry: No. 64
- Electronic total energy: -109.52 eV/cell

Structure (CIF):
```
data_Ce2Pm2Se5
_cell_length_a 7.917
_cell_length_b 8.440
_cell_length_c 8.440
_cell_angle_alpha 123.96
_cell_angle_beta 90.00
_cell_angle_gamma 90.00
_space_group_name_H-M_alt 'P 1'
_space_group_IT_number 1
loop_
_space_group_symop_operation_xyz
'x,y,z'
loop_
_atom_site_label
_atom_site_type_symbol
_atom_site_fract_x
_atom_site_fract_y
_atom_site_fract_z
Ce1 Ce 0.000 0.803 0.197
Ce2 Ce 0.500 0.303 0.697
Ce3 Ce 0.000 0.197 0.803
Ce4 Ce 0.500 0.697 0.303
Pm1 Pm 0.344 0.153 0.153
Pm2 Pm 0.656 0.847 0.847
Pm3 Pm 0.844 0.347 0.347
Pm4 Pm 0.156 0.653 0.653
Se1 Se 0.000 0.000 0.000
Se2 Se 0.500 0.500 0.500
Se3 Se 0.153 0.204 0.479
Se4 Se 0.847 0.521 0.796
Se5 Se 0.653 0.021 0.296
Se6 Se 0.347 0.704 0.979
Se7 Se 0.847 0.796 0.521
Se8 Se 0.153 0.479 0.204
Se9 Se 0.347 0.979 0.704
Se10 Se 0.653 0.296 0.021
```

=====

[8]
Entry from the Alexandria database: a relaxed structure of Ce4PmSe5 (PBE-GGA).

Output
- D(E_F): 2.49 states/eV per atom
- Formation energy (no corrections): -1759 kJ/mol of formula units
- Symmetry: No. 139
- Electronic total energy: -64.14 eV/cell

Structure (CIF):
```
data_Ce4PmSe5
_cell_length_a 4.200
_cell_length_b 4.200
_cell_length_c 15.139
_cell_angle_alpha 97.97
_cell_angle_beta 97.97
_cell_angle_gamma 90.00
_space_group_name_H-M_alt 'P 1'
_space_group_IT_number 1
loop_
_space_group_symop_operation_xyz
'x,y,z'
loop_
_atom_site_label
_atom_site_type_symbol
_atom_site_fract_x
_atom_site_fract_y
_atom_site_fract_z
Ce1 Ce 0.400 0.400 0.800
Ce2 Ce 0.800 0.800 0.599
Ce3 Ce 0.200 0.200 0.401
Ce4 Ce 0.600 0.600 0.200
Pm1 Pm 0.000 0.000 0.000
Se1 Se 0.100 0.100 0.199
Se2 Se 0.500 0.500 0.000
Se3 Se 0.900 0.900 0.801
Se4 Se 0.300 0.300 0.600
Se5 Se 0.700 0.700 0.400
```

=====

[9]
Entry from the Alexandria database: a relaxed structure of CePm5Se6 (PBE-GGA).

Output
- D(E_F): 0.91 states/eV per atom
- Formation energy (no corrections): -2128 kJ/mol of formula units
- Symmetry: No. 12
- Electronic total energy: -72.65 eV/cell

Structure (CIF):
```
data_CePm5Se6
_cell_length_a 7.268
_cell_length_b 7.268
_cell_length_c 7.278
_cell_angle_alpha 99.59
_cell_angle_beta 99.59
_cell_angle_gamma 120.12
_space_group_name_H-M_alt 'P 1'
_space_group_IT_number 1
loop_
_space_group_symop_operation_xyz
'x,y,z'
loop_
_atom_site_label
_atom_site_type_symbol
_atom_site_fract_x
_atom_site_fract_y
_atom_site_fract_z
Se1 Se 0.415 0.083 0.249
Se2 Se 0.917 0.585 0.751
Se3 Se 0.249 0.249 0.749
Se4 Se 0.751 0.751 0.251
Se5 Se 0.083 0.415 0.249
Se6 Se 0.585 0.917 0.751
Ce1 Ce 0.000 0.000 0.000
Pm1 Pm 0.830 0.170 0.500
Pm2 Pm 0.668 0.332 0.000
Pm3 Pm 0.500 0.500 0.500
Pm4 Pm 0.332 0.668 0.000
Pm5 Pm 0.170 0.830 0.500
```

=====

[10]
Entry from the Alexandria database: a relaxed structure of Ce2Pm3Se8 (PBE-GGA).

Output
- D(E_F): 0.76 states/eV per atom
- Formation energy (no corrections): -2182 kJ/mol of formula units
- Symmetry: No. 12
- Electronic total energy: -76.62 eV/cell

Structure (CIF):
```
data_Ce2Pm3Se8
_cell_length_a 7.092
_cell_length_b 8.383
_cell_length_c 8.560
_cell_angle_alpha 119.32
_cell_angle_beta 107.05
_cell_angle_gamma 90.00
_space_group_name_H-M_alt 'P 1'
_space_group_IT_number 1
loop_
_space_group_symop_operation_xyz
'x,y,z'
loop_
_atom_site_label
_atom_site_type_symbol
_atom_site_fract_x
_atom_site_fract_y
_atom_site_fract_z
Ce1 Ce 0.334 0.260 0.521
Ce2 Ce 0.666 0.740 0.479
Pm1 Pm 0.500 0.000 0.000
Pm2 Pm 0.000 0.261 0.000
Pm3 Pm 0.000 0.739 0.000
Se1 Se 0.882 0.610 0.221
Se2 Se 0.118 0.390 0.779
Se3 Se 0.928 0.119 0.239
Se4 Se 0.072 0.881 0.761
Se5 Se 0.584 0.641 0.746
Se6 Se 0.584 0.105 0.746
Se7 Se 0.416 0.895 0.254
Se8 Se 0.416 0.359 0.254
```

=====

[11]
Entry from the Alexandria database: a relaxed structure of CePm2Se4 (PBE-GGA).

Output
- D(E_F): 1.16 states/eV per atom
- Formation energy (no corrections): -1254 kJ/mol of formula units
- Symmetry: No. 74
- Electronic total energy: -84.74 eV/cell

Structure (CIF):
```
data_CePm2Se4
_cell_length_a 8.443
_cell_length_b 8.370
_cell_length_c 8.370
_cell_angle_alpha 60.51
_cell_angle_beta 59.71
_cell_angle_gamma 59.71
_space_group_name_H-M_alt 'P 1'
_space_group_IT_number 1
loop_
_space_group_symop_operation_xyz
'x,y,z'
loop_
_atom_site_label
_atom_site_type_symbol
_atom_site_fract_x
_atom_site_fract_y
_atom_site_fract_z
Ce1 Ce 0.500 0.500 0.000
Ce2 Ce 0.000 0.500 0.000
Pm1 Pm 0.000 0.000 0.000
Pm2 Pm 0.000 0.000 0.500
Pm3 Pm 0.000 0.500 0.500
Pm4 Pm 0.500 0.000 0.500
Se1 Se 0.254 0.245 0.247
Se2 Se 0.746 0.253 0.255
Se3 Se 0.254 0.747 0.745
Se4 Se 0.746 0.755 0.753
Se5 Se 0.756 0.750 0.250
Se6 Se 0.756 0.250 0.750
Se7 Se 0.244 0.750 0.250
Se8 Se 0.244 0.250 0.750
```